# 1
Density functional theory data (GGA-PBE) for crystalline Nd4SmDy8 at its relaxed geometry.

Output
As for the total energy: -0.3049 Ry per atom. The density of states at the Fermi level comes out at 20.4 states/eV/cell. The formation energy comes out at 0.5138 eV per atom. The space-group type is R-3m.

The structure in POSCAR format:
```
Nd4SmDy8
1.0
4.047 2.074 -10.101
0.269 -10.300 4.067
-6.850 1.236 3.583
Nd Dy Sm
4 8 1
Cartesian
2.024 1.037 -5.050
0.000 0.000 0.000
2.158 -4.113 -3.017
0.135 -5.150 2.034
-5.005 -6.893 5.818
0.384 -6.405 -1.161
2.472 -0.097 -8.268
0.364 -1.177 -3.006
-2.897 -5.813 0.556
-2.917 -0.585 -1.289
-5.146 -1.528 3.699
2.612 -5.463 -6.149
-3.290 -4.532 3.825
```

# 2
Density functional theory data (GGA-PBE) for crystalline NaU3Tl4Te8 at its relaxed geometry.

Output
The calculation puts the formation energy without anion corrections at -0.573 eV/atom. As for the total energy: -0.3627 Ry per atom. The density of states at the Fermi level comes out at 14.6 states/eV/cell. The space-group type is R-3m.

The structure in POSCAR format:
```
NaU3Tl4Te8
1.0
-4.555 6.662 3.921
-6.229 -6.417 3.667
8.712 -1.151 1.811
Te U Tl Na
8 3 4 1
Cartesian
2.882 -4.063 5.330
-2.770 -0.037 2.189
1.591 -0.690 3.021
0.698 -0.869 7.210
-0.775 2.605 4.938
-4.953 3.157 4.069
-1.296 -3.511 4.460
-3.663 -0.216 6.378
-1.036 -0.453 4.699
-5.392 0.122 3.794
1.242 -3.784 2.739
4.356 -0.576 0.905
-2.277 3.331 1.960
2.079 2.755 2.866
0.000 0.000 0.000
-3.114 -3.209 1.834
```

# 3
Density functional theory data (GGA-PBE) for crystalline PrSmZnAu at its relaxed geometry.

Output
Its relative energy among the computed polymorphs is 22.6 meV/atom. As for the total energy: -0.2965 Ry per atom. The density of states at the Fermi level comes out at 2.9 states/eV/cell. The formation energy comes out at -0.5214 eV per atom. The space-group type is F-43m.

The structure in POSCAR format:
```
PrSmZnAu
1.0
5.234 0.000 0.000
2.617 4.533 0.000
2.617 1.511 4.274
Pr Sm Au Zn
1 1 1 1
Cartesian
7.851 4.533 3.205
2.617 1.511 1.068
5.234 3.022 2.137
0.000 0.000 0.000
```

# 4
Density functional theory data (GGA-PBE) for crystalline LiIn6S8 at its relaxed geometry.

Output
The calculation puts the formation energy without anion corrections at -0.393 eV/atom. As for the total energy: -0.2805 Ry per atom. The density of states at the Fermi level comes out at 9.4 states/eV/cell. The space-group type is R-3.

The structure in POSCAR format:
```
LiIn6S8
1.0
7.616 -0.455 -0.470
-0.693 7.598 -0.470
-0.693 -0.715 7.579
S In Li
8 6 1
Cartesian
5.733 1.667 4.019
2.448 0.574 4.843
1.487 3.831 5.909
4.743 2.597 0.730
1.327 1.369 1.414
4.903 5.059 5.224
3.782 5.854 1.796
0.497 4.761 2.620
5.637 4.166 2.810
3.733 0.711 2.384
0.594 2.262 3.828
3.989 2.623 5.851
2.497 5.717 4.255
2.242 3.805 0.787
0.000 0.000 0.000
```

# 5
Density functional theory data (GGA-PBE) for crystalline GaHg2IF at its relaxed geometry.

Output
The calculation puts the formation energy without anion corrections at -0.641 eV/atom. As for the total energy: -0.1508 Ry per atom. The density of states at the Fermi level comes out at 2.2 states/eV/cell. The space-group type is P4/mmm.

The structure in POSCAR format:
```
GaHg2IF
1.0
5.557 0.000 0.000
0.000 5.557 0.000
0.000 0.000 4.223
I Hg F Ga
1 2 1 1
Cartesian
2.778 2.778 2.112
2.778 0.000 0.000
0.000 2.778 0.000
0.000 0.000 2.112
0.000 0.000 0.000
```

# 6
Density functional theory data (GGA-PBE) for crystalline InPtRh2 at its relaxed geometry.

Output
As for the total energy: -0.4306 Ry per atom. The density of states at the Fermi level comes out at 5.9 states/eV/cell. The formation energy comes out at 0.0115 eV per atom. The space-group type is R-3m.

The structure in POSCAR format:
```
InPtRh2
1.0
8.798 -1.457 -0.007
8.798 1.457 -0.007
8.558 0.000 2.505
Pt Rh In
1 2 1
Cartesian
0.000 0.000 0.000
6.556 0.000 0.624
19.598 0.000 1.867
13.077 0.000 1.246
```

# 7
Density functional theory data (GGA-PBE) for crystalline KAlPbCl6 at its relaxed geometry.

Output
The calculation puts the formation energy without anion corrections at -1.497 eV/atom. As for the total energy: -0.2703 Ry per atom. The density of states at the Fermi level comes out at 0.0 states/eV/cell. The space-group type is P312.

The structure in POSCAR format:
```
KAlPbCl6
1.0
6.999 0.000 0.000
3.500 6.061 0.000
0.000 0.000 6.646
Cl Al K Pb
6 1 1 1
Cartesian
2.568 0.355 4.710
4.476 3.660 1.936
5.407 2.046 4.710
4.431 0.355 1.936
1.591 2.046 1.936
2.523 3.660 4.710
3.499 2.020 3.323
6.999 0.000 6.646
6.999 4.041 3.323
```

# 8
Density functional theory data (GGA-PBE) for crystalline ReOsN2F at its relaxed geometry.

Output
The calculation puts the formation energy without anion corrections at 1.309 eV/atom. Its relative energy among the computed polymorphs is 166.0 meV/atom. As for the total energy: -0.5241 Ry per atom. The density of states at the Fermi level comes out at 3.6 states/eV/cell. The space-group type is P4/mmm.

The structure in POSCAR format:
```
ReOsN2F
1.0
-3.756 -0.315 0.916
-0.777 -1.214 -3.601
0.634 -4.018 1.218
Os N Re F
1 2 1 1
Cartesian
0.000 0.000 0.000
-1.878 -0.157 0.458
-0.389 -0.607 -1.801
-1.950 -2.773 -0.733
0.317 -2.009 0.609
```

# 9
Density functional theory data (GGA-PBE) for crystalline IrAu at its relaxed geometry.

Output
Its relative energy among the computed polymorphs is 1561.9 meV/atom. As for the total energy: -0.3176 Ry per atom. The density of states at the Fermi level comes out at 2.8 states/eV/cell. The formation energy comes out at 1.7484 eV per atom. The space-group type is F-43m.

The structure in POSCAR format:
```
IrAu
1.0
4.154 0.000 0.000
2.077 3.597 0.000
2.077 1.199 3.391
Au Ir
1 1
Cartesian
0.000 0.000 0.000
2.077 1.199 0.848
```

# 10
Density functional theory data (GGA-PBE) for crystalline TaTiSeN2 at its relaxed geometry.

Output
The calculation puts the formation energy without anion corrections at 0.466 eV/atom. Its relative energy among the computed polymorphs is 414.8 meV/atom. As for the total energy: -0.5520 Ry per atom. The density of states at the Fermi level comes out at 3.1 states/eV/cell. The space-group type is P4/mmm.

The structure in POSCAR format:
```
TaTiSeN2
1.0
-1.792 -1.299 3.181
-0.854 -3.306 -1.831
4.257 -1.980 1.589
Ta Se N Ti
1 1 2 1
Cartesian
0.805 -3.293 1.469
2.128 -0.990 0.795
-0.896 -0.650 1.590
-0.427 -1.653 -0.916
0.000 0.000 0.000
```

# 11
Density functional theory data (GGA-PBE) for crystalline Cu13Si2 at its relaxed geometry.

Output
The calculation puts the formation energy without anion corrections at 0.211 eV/atom. Its relative energy among the computed polymorphs is 242.0 meV/atom. As for the total energy: -0.2985 Ry per atom. The density of states at the Fermi level comes out at 4.5 states/eV/cell. The space-group type is R-3m.

The structure in POSCAR format:
```
Cu13Si2
1.0
5.801 0.000 2.913
2.169 5.381 2.913
0.114 0.077 7.006
Cu Si
13 2
Cartesian
4.923 3.324 9.081
2.317 0.041 2.618
5.767 5.417 10.214
5.685 1.390 7.666
4.670 0.704 5.167
3.161 2.134 3.752
2.059 1.390 5.845
7.180 3.324 10.214
0.904 2.134 2.618
2.399 4.068 5.167
4.042 2.729 6.416
6.026 4.068 6.988
3.415 4.753 7.666
3.045 2.055 8.402
5.040 3.402 4.430
```

# 12
Density functional theory data (GGA-PBE) for crystalline ZnInGaO4 at its relaxed geometry.

Output
The calculation puts the formation energy without anion corrections at -1.639 eV/atom. Its relative energy among the computed polymorphs is 0.0 meV/atom. As for the total energy: -0.4026 Ry per atom. The space-group type is R3m.

The structure in POSCAR format:
```
ZnInGaO4
1.0
-2.825 -5.540 6.434
-4.905 -6.365 3.938
-1.850 -7.737 4.097
O Zn Ga In
4 1 1 1
Cartesian
-8.273 -16.962 12.495
-6.814 -13.971 10.292
-2.828 -5.798 4.271
-1.163 -2.384 1.756
-2.097 -4.300 3.168
-7.536 -15.451 11.382
-0.029 -0.060 0.044
```

Magnetization: 1.675; 7.000; 0.001; 0.000; 0.000; 0.001; 0.000; 4.103; 1.562; 0.736; 0.000; 0.000 (μB/f.u.)